1.
VASP calculation (PBE-GGA) on an optimized crystal structure of SrHfSb2.

POSCAR file:
```
SrHfSb2
1.0
-3.9924 3.9924 4.4786
3.9924 -3.9924 4.4786
3.9924 3.9924 -4.4786
Sr Hf Sb
2 2 4
direct
0.0000 0.0000 0.0000
0.7500 0.2500 0.5000
0.2500 0.7500 0.5000
0.5000 0.5000 0.0000
0.1739 0.1250 0.5489
0.3750 0.8261 0.9511
0.5761 0.6250 0.4511
0.8750 0.4239 0.0489
```

Output
- M_tot (μB/f.u.) = 0.000
- offset from the most stable computed form (meV/atom) = 331
- uncorrected formation energy (meV/atom) = -408
- Fermi-level density of states (states/eV/f.u.) = 0.01
- space group = I-42d, No. 122

***

2.
VASP calculation (PBE-GGA) on an optimized crystal structure of SrHf2Sb.

POSCAR file:
```
SrHf2Sb
1.0
-2.3818 2.3818 10.7594
2.3818 -2.3818 10.7594
2.3818 2.3818 -10.7594
Sr Hf Sb
2 4 2
direct
0.0000 0.0000 0.0000
0.7500 0.2500 0.5000
0.2476 0.6250 0.1226
0.3750 0.4976 0.6226
0.5024 0.1250 0.8774
0.8750 0.7524 0.3774
0.2500 0.7500 0.5000
0.5000 0.5000 0.0000
```

Output
- M_tot (μB/f.u.) = 0.000
- uncorrected formation energy (meV/atom) = 384
- Fermi-level density of states (states/eV/f.u.) = 3.31
- space group = I-42d, No. 122

***

3.
VASP calculation (PBE-GGA) on an optimized crystal structure of SrHfSb2.

POSCAR file:
```
SrHfSb2
1.0
0.0000 3.7809 3.7809
3.7809 0.0000 3.7809
3.7809 3.7809 0.0000
Sr Hf Sb
1 1 2
direct
0.0000 0.0000 0.0000
0.5000 0.5000 0.5000
0.2500 0.2500 0.2500
0.7500 0.7500 0.7500
```

Output
- M_tot (μB/f.u.) = 0.000
- offset from the most stable computed form (meV/atom) = 417
- uncorrected formation energy (meV/atom) = -322
- Fermi-level density of states (states/eV/f.u.) = 3.26
- space group = Fm-3m, No. 225

***

4.
VASP calculation (PBE-GGA) on an optimized crystal structure of Sr3HfSb.

POSCAR file:
```
Sr3HfSb
1.0
5.9741 0.0000 0.0000
0.0000 5.9741 0.0000
0.0000 0.0000 5.9741
Sr Hf Sb
3 1 1
direct
0.0000 0.0000 0.5000
0.0000 0.5000 0.0000
0.5000 0.0000 0.0000
0.0000 0.0000 0.0000
0.5000 0.5000 0.5000
```

Output
- M_tot (μB/f.u.) = 2.246
- offset from the most stable computed form (meV/atom) = 354
- uncorrected formation energy (meV/atom) = 781
- Fermi-level density of states (states/eV/f.u.) = 7.00
- space group = Pm-3m, No. 221

***

5.
VASP calculation (PBE-GGA) on an optimized crystal structure of SrHf3Sb.

POSCAR file:
```
SrHf3Sb
1.0
5.3901 0.0000 0.0000
0.0000 5.3901 0.0000
0.0000 0.0000 5.3901
Sr Hf Sb
1 3 1
direct
0.0000 0.0000 0.0000
0.0000 0.5000 0.5000
0.5000 0.0000 0.5000
0.5000 0.5000 0.0000
0.5000 0.5000 0.5000
```

Output
- M_tot (μB/f.u.) = 0.000
- offset from the most stable computed form (meV/atom) = 0
- uncorrected formation energy (meV/atom) = 709
- Fermi-level density of states (states/eV/f.u.) = 5.00
- space group = Pm-3m, No. 221

***

6.
VASP calculation (PBE-GGA) on an optimized crystal structure of SrHfSb2.

POSCAR file:
```
SrHfSb2
1.0
2.1384 1.2346 7.7090
-2.1384 1.2346 7.7090
0.0000 -2.4692 7.7090
Sr Hf Sb
1 1 2
direct
0.0000 0.0000 0.0000
0.1701 0.1701 0.1701
0.5717 0.5717 0.5717
0.7655 0.7655 0.7655
```

Output
- M_tot (μB/f.u.) = 0.000
- offset from the most stable computed form (meV/atom) = 39
- uncorrected formation energy (meV/atom) = -699
- Fermi-level density of states (states/eV/f.u.) = 1.17
- space group = R3m, No. 160

***

7.
VASP calculation (PBE-GGA) on an optimized crystal structure of Sr2HfSb2.

POSCAR file:
```
Sr2HfSb2
1.0
7.9906 0.0000 0.0000
0.0000 7.9906 0.0000
0.0000 0.0000 4.8405
Sr Hf Sb
4 2 4
direct
0.1562 0.3438 0.0000
0.3438 0.8438 0.0000
0.6562 0.1562 0.0000
0.8438 0.6562 0.0000
0.0000 0.0000 0.5000
0.5000 0.5000 0.5000
0.1575 0.6575 0.5000
0.3425 0.1575 0.5000
0.6575 0.8425 0.5000
0.8425 0.3425 0.5000
```

Output
- M_tot (μB/f.u.) = 0.000
- uncorrected formation energy (meV/atom) = -591
- Fermi-level density of states (states/eV/f.u.) = 0.34
- space group = P4/mbm, No. 127

***

8.
VASP calculation (PBE-GGA) on an optimized crystal structure of Sr3HfSb.

POSCAR file:
```
Sr3HfSb
1.0
6.2169 0.0000 0.0000
0.0000 6.2169 0.0000
0.0000 0.0000 6.2169
Sr Hf Sb
3 1 1
direct
0.0000 0.0000 0.5000
0.0000 0.5000 0.0000
0.5000 0.0000 0.0000
0.5000 0.5000 0.5000
0.0000 0.0000 0.0000
```

Output
- M_tot (μB/f.u.) = 4.752
- offset from the most stable computed form (meV/atom) = 0
- uncorrected formation energy (meV/atom) = 427
- Fermi-level density of states (states/eV/f.u.) = 12.38
- space group = Pm-3m, No. 221

***

9.
VASP calculation (PBE-GGA) on an optimized crystal structure of SrHfSb2.

POSCAR file:
```
SrHfSb2
1.0
2.1440 1.2378 7.5843
-2.1440 1.2378 7.5843
0.0000 -2.4756 7.5843
Sr Hf Sb
1 1 2
direct
0.0000 0.0000 0.0000
0.5000 0.5000 0.5000
0.2373 0.2373 0.2373
0.7627 0.7627 0.7627
```

Output
- M_tot (μB/f.u.) = 0.000
- offset from the most stable computed form (meV/atom) = 0
- uncorrected formation energy (meV/atom) = -739
- Fermi-level density of states (states/eV/f.u.) = 0.96
- space group = R-3m, No. 166

***

10.
VASP calculation (PBE-GGA) on an optimized crystal structure of SrHf3Sb.

POSCAR file:
```
SrHf3Sb
1.0
5.1846 0.0000 0.0000
0.0000 5.1846 0.0000
0.0000 0.0000 5.1846
Sr Hf Sb
1 3 1
direct
0.0000 0.0000 0.0000
0.0000 0.0000 0.5000
0.0000 0.5000 0.0000
0.5000 0.0000 0.0000
0.5000 0.5000 0.5000
```

Output
- M_tot (μB/f.u.) = 0.000
- offset from the most stable computed form (meV/atom) = 1238
- uncorrected formation energy (meV/atom) = 1947
- Fermi-level density of states (states/eV/f.u.) = 8.39
- space group = Pm-3m, No. 221

***

11.
VASP calculation (PBE-GGA) on an optimized crystal structure of SrHfSb2.

POSCAR file:
```
SrHfSb2
1.0
1.9875 1.1475 10.1956
-1.9875 1.1475 10.1956
0.0000 -2.2949 10.1956
Sr Hf Sb
1 1 2
direct
0.0000 0.0000 0.0000
0.5000 0.5000 0.5000
0.1067 0.1067 0.1067
0.8933 0.8933 0.8933
```

Output
- M_tot (μB/f.u.) = 0.002
- offset from the most stable computed form (meV/atom) = 560
- uncorrected formation energy (meV/atom) = -179
- Fermi-level density of states (states/eV/f.u.) = 2.78
- space group = R-3m, No. 166

***

12.
VASP calculation (PBE-GGA) on an optimized crystal structure of Hf2TaSb.

POSCAR file:
```
Hf2TaSb
1.0
1.6442 0.9493 9.2910
-1.6442 0.9493 9.2910
0.0000 -1.8985 9.2910
Hf Ta Sb
2 1 1
direct
0.2486 0.2486 0.2486
0.7514 0.7514 0.7514
0.5000 0.5000 0.5000
0.0000 0.0000 0.0000
```

Output
- M_tot (μB/f.u.) = 0.000
- uncorrected formation energy (meV/atom) = 25
- Fermi-level density of states (states/eV/f.u.) = 4.45
- space group = R-3m, No. 166